First-principles (SCAN) data for a PBEsol-optimized structure of TaFe4W, as listed in Alexandria via LeMat-Bulk.

Cell: 4.6861 4.6861 4.6861 Å, 60.00 60.00 60.00°
With the nearest neighbours (Å) after each atom.
Fractional coordinates of all 6 atoms:
1 Fe 0.8747 0.3751 0.3751  6 Fe 2.34
2 Fe 0.3751 0.3751 0.3751  6 Fe 2.34
3 Fe 0.3751 0.3751 0.8747  6 Fe 2.34
4 Fe 0.3751 0.8747 0.3751  6 Fe 2.34
5 Ta 0.7500 0.7500 0.7500  12 Fe 2.75, 4 W 2.87
6 W 0.0000 0.0000 0.0000  12 Fe 2.75, 4 Ta 2.87

Summary:
formation energy from the elements: 11.2 meV per atom
crystal system: cubic
M_tot: 6.18 μB/cell
E: -34.79 eV per atom